# P3W2O13, single point on PBEsol structure, DFT SCAN
# - ΔE_f (raw) (eV per atom) = -2.28
# - E (eV/cell) = -585.4
data_P3W2O13
_cell_length_a 6.351
_cell_length_b 6.970
_cell_length_c 12.366
_cell_angle_alpha 81.48
_cell_angle_beta 87.09
_cell_angle_gamma 76.88
_space_group_name_H-M_alt 'P -1'
_space_group_IT_number 2
loop_
_space_group_symop_operation_xyz
'x,y,z'
'-x,-y,-z'
loop_
_atom_site_label
_atom_site_fract_x
_atom_site_fract_y
_atom_site_fract_z
_atom_site_occupancy
P1 0.133 0.384 0.351 1
P2 0.263 0.984 0.877 1
P3 0.278 0.751 0.310 1
W1 0.198 0.180 0.123 1
W2 0.237 0.191 0.620 1
O1 0.077 0.815 0.382 1
O2 0.096 0.494 0.644 1
O3 0.101 0.852 0.875 1
O4 0.148 0.429 0.078 1
O5 0.164 0.217 0.280 1
O6 0.224 0.157 0.782 1
O7 0.226 0.295 0.463 1
O8 0.241 0.074 0.984 1
O9 0.273 0.871 0.198 1
O10 0.288 0.525 0.294 1
O11 0.321 0.944 0.609 1
O12 0.480 0.742 0.375 1
O13 0.488 0.850 0.868 1